The following is a DFT calculation (meta-GGA SCAN) of a crystal of ZrGaAs3 relaxed with PBEsol.

Computed properties:
Formation energy   236 meV/atom
Spin magnetization   0.00 μB per formula unit

Cell and atoms, written as CIF:
```
data_ZrGaAs3
_chemical_formula_sum 'Zr1 Ga1 As3'
_symmetry_space_group_name_H-M 'P m -3 m'
_symmetry_Int_Tables_number 221
_symmetry_space_group_name_Hall '-P 4 2 3'
_cell_length_a 5.126
_cell_length_b 5.126
_cell_length_c 5.126
_cell_angle_alpha 90.00
_cell_angle_beta 90.00
_cell_angle_gamma 90.00
loop_
_atom_site_label
_atom_site_type_symbol
_atom_site_fract_x
_atom_site_fract_y
_atom_site_fract_z
Zr1 Zr 0.000 0.000 0.000
Ga1 Ga 0.500 0.500 0.500
As1 As 0.000 0.000 0.500
```